Si2AsPt: optimized geometry, GGA-PBE.

Cell: 4.245 4.245 7.155 Å, 90.00 90.00 90.00°
Space group I-4m2 (No. 119)
Inequivalent atoms, fractional coordinates:
Si  0.000  0.000  0.000
Si  0.000  0.500  0.250
As  0.000  0.500  0.750
Pt  0.000  0.000  0.500

ΔE_f (raw) (eV per atom): 0.25


Tb5CeDyEr2: optimized geometry, GGA-PBE.

Cell: 5.685 21.460 9.556 Å, 90.00 90.00 90.00°
Space group Cmc2_1 (No. 36)
Inequivalent atoms, fractional coordinates:
Tb  0.000  0.014  0.000
Tb  0.000  0.268  0.318
Tb  0.000  0.305  0.700
Tb  0.000  0.394  0.032
Tb  0.000  0.471  0.736
Ce  0.000  0.191  0.009
Dy  0.000  0.403  0.415
Er  0.000  0.114  0.311
Er  0.000  0.132  0.697

Formation enthalpy at 0 K (eV per atom): 0.171


Be2AgCl: optimized geometry, GGA-PBE.

Cell: 2.9933 2.9933 21.0667 Å, 90.00 90.00 120.00°
Space group R-3m (No. 166, hexagonal axes)
Inequivalent atoms, fractional coordinates:
Be  0.0000  0.0000  0.2465
Ag  0.0000  0.0000  0.0000
Cl  0.0000  0.0000  0.5000

Offset from the most stable computed form (meV per atom): 195.4
ΔE_f (raw) (eV per atom): 0.23


TlTc3As: optimized geometry, GGA-PBE.

Cell: 4.599 4.599 4.599 Å, 90.00 90.00 90.00°
Space group Pm-3m (No. 221)
Inequivalent atoms, fractional coordinates:
Tl  0.000  0.000  0.000
Tc  0.000  0.500  0.500
As  0.500  0.500  0.500

Offset from the most stable computed form (meV per atom): 0.0
Formation enthalpy at 0 K (eV per atom): 0.978


SmDy2O: optimized geometry, GGA-PBE.

Cell: 3.4835 3.4835 28.1524 Å, 90.00 90.00 120.00°
Space group R-3m (No. 166, hexagonal axes)
Inequivalent atoms, fractional coordinates:
Sm  0.0000  0.0000  0.0000
Dy  0.0000  0.0000  0.1200
O  0.0000  0.0000  0.5000

Offset from the most stable computed form (meV per atom): 0.0
ΔE_f (raw) (eV per atom): -1.20


RbHPb2: optimized geometry, GGA-PBE.

Cell: 7.274 7.274 10.064 Å, 90.00 90.00 90.00°
Space group I-42d (No. 122)
Inequivalent atoms, fractional coordinates:
Rb  0.000  0.000  0.000
H  0.000  0.000  0.500
Pb  0.029  0.750  0.625

Offset from the most stable computed form (meV per atom): 0.0


no.,VASP energy (eV per atom)
1,-5.134
2,-4.586
3,-2.807
4,-6.645
5,-5.923
6,-2.778